Entry 1:
Computed, not measured: SrGaC3 after structural relaxation at the PBE level of DFT.

a b c (Å): 4.1519 4.1519 4.1519
angles (deg): 90.00 90.00 90.00
Closest atoms and distances in Å follow each position.
Element x y z (fractional)
C: 0.5000 0.0000 0.0000  2 Ga 2.08
Sr: 0.5000 0.5000 0.5000  12 C 2.94
C: 0.0000 0.0000 0.5000  2 Ga 2.08
Ga: 0.0000 0.0000 0.0000  6 C 2.08
C: 0.0000 0.5000 0.0000  2 Ga 2.08

Energy of formation from the pure elements   1.858 eV/atom
Energy relative to the lowest polymorph listed for this composition   0.000 eV per atom
SG   Pm-3m, No. 221

---

Entry 2:
Computed, not measured: HgOs2Se after structural relaxation at the PBE level of DFT.

a b c (Å): 10.5471 10.5471 10.5471
angles (deg): 15.68 15.68 15.68
Closest atoms and distances in Å follow each position.
Element x y z (fractional)
Os: 0.2539 0.2539 0.2539  3 Se 2.59, 9 Os 2.65-2.88
Se: 0.5235 0.5235 0.5235  3 Os 2.59, 6 Se 2.88
Hg: 0.7361 0.7361 0.7361  6 Hg 2.88, 3 Os 3.08
Os: 0.9865 0.9865 0.9865  9 Os 2.65-2.88

E   -24.362 eV per cell
SG   R3m, No. 160

---

Entry 3:
Computed, not measured: LiCuTe2Se after structural relaxation at the PBE level of DFT.

a b c (Å): 5.1238 4.3077 5.1238
angles (deg): 90.00 90.00 90.00
Closest atoms and distances in Å follow each position.
Element x y z (fractional)
Te: 0.5000 0.0000 0.0000  2 Li 2.56
Se: 0.5000 0.5000 0.5000  8 Te 3.35, 4 Cu 3.62
Te: 0.0000 0.0000 0.5000  2 Li 2.56
Li: 0.0000 0.0000 0.0000  2 Cu 2.15
Cu: 0.0000 0.5000 0.0000  2 Li 2.15

Energy relative to the lowest polymorph listed for this composition   0.169 eV per atom
SG   P4/mmm, No. 123

---

Entry 4:
Computed, not measured: Ce2BiRh after structural relaxation at the PBE level of DFT.

a b c (Å): 4.1688 4.1688 7.8580
angles (deg): 74.62 74.62 60.00
Closest atoms and distances in Å follow each position.
Element x y z (fractional)
Ce: 0.2636 0.2636 0.2092  3 Rh 2.87
Rh: 0.0000 0.0000 0.0000  6 Ce 2.87
Bi: 0.5000 0.5000 0.5000  6 Ce 3.24
Ce: 0.7364 0.7364 0.7908  3 Rh 2.87

Energy of formation from the pure elements   -0.640 eV/atom
Energy relative to the lowest polymorph listed for this composition   0.000 eV per atom
SG   R-3m, No. 166

---

Entry 5:
Computed, not measured: CaMgCd2 after structural relaxation at the PBE level of DFT.

a b c (Å): 6.9336 6.9336 6.9336
angles (deg): 150.40 55.27 134.44
Closest atoms and distances in Å follow each position.
Element x y z (fractional)
Cd: 0.2308 0.0000 0.2308  1 Mg 2.84
Mg: 0.0000 0.0000 0.0000  2 Cd 2.84
Ca: 0.5000 0.0000 0.5000  4 Mg 3.22, 2 Cd 3.31, 2 Ca 3.54
Cd: 0.7692 0.0000 0.7692  1 Mg 2.84

Energy of formation from the pure elements   0.149 eV/atom
SG   Immm, No. 71

---

Entry 6:
Computed, not measured: CuSnOsC after structural relaxation at the PBE level of DFT.

a b c (Å): 4.5627 3.3135 8.8322
angles (deg): 90.00 111.95 90.00
Closest atoms and distances in Å follow each position.
Element x y z (fractional)
Sn: 0.8710 0.5000 0.7161  1 C 2.47, 1 Os 2.74, 2 Cu 2.75
Cu: 0.5937 0.5000 0.3729  1 C 1.99
Os: 0.1652 0.0000 0.5493  2 C 1.91
C: 0.3279 0.0000 0.0077  2 Os 1.91, 1 Cu 1.99
Cu: 0.5937 0.0000 0.8729  1 C 1.99
Os: 0.1652 0.5000 0.0493  2 C 1.91
C: 0.3279 0.5000 0.5077  2 Os 1.91, 1 Cu 1.99
Sn: 0.8710 0.0000 0.2161  1 C 2.47, 1 Os 2.74, 2 Cu 2.75

Energy of formation from the pure elements   0.623 eV/atom
Energy relative to the lowest polymorph listed for this composition   0.228 eV per atom
SG   Cm, No. 8

---

Entry 7:
Computed, not measured: Sm2ThIr9 after structural relaxation at the PBE level of DFT.

a b c (Å): 5.3556 5.3556 9.3772
angles (deg): 73.41 73.41 60.00
Closest atoms and distances in Å follow each position.
Element x y z (fractional)
Ir: 0.3327 0.3327 0.0019  6 Ir 2.66-2.68
Ir: 0.0833 0.5810 0.7547  7 Ir 2.66-2.73
Sm: 0.8597 0.8597 0.4210  12 Ir 3.10-3.34, 3 Sm 3.39
Ir: 0.5810 0.5810 0.7547  7 Ir 2.66-2.73
Ir: 0.4190 0.9167 0.2453  7 Ir 2.66-2.73
Ir: 0.4190 0.4190 0.2453  7 Ir 2.66-2.73
Ir: 0.5000 0.5000 0.5000  6 Ir 2.73
Ir: 0.9167 0.4190 0.2453  7 Ir 2.66-2.73
Ir: 0.6673 0.6673 0.9981  6 Ir 2.66-2.68
Th: 0.0000 0.0000 0.0000  18 Ir 3.09-3.45
Sm: 0.1403 0.1403 0.5790  12 Ir 3.10-3.34, 3 Sm 3.39
Ir: 0.5810 0.0833 0.7547  7 Ir 2.66-2.73

Energy of formation from the pure elements   -0.603 eV/atom
SG   R-3m, No. 166

---

Entry 8:
Computed, not measured: Sm2HoSb after structural relaxation at the PBE level of DFT.

a b c (Å): 4.0461 4.0461 9.9492
angles (deg): 78.27 78.27 60.00
Closest atoms and distances in Å follow each position.
Element x y z (fractional)
Sb: 0.0000 0.0000 0.0000  6 Sm 3.06
Sm: 0.7350 0.7350 0.7951  3 Sb 3.06
Ho: 0.5000 0.5000 0.5000  6 Sm 3.69, 6 Ho 4.05
Sm: 0.2650 0.2650 0.2049  3 Sb 3.06

Energy relative to the lowest polymorph listed for this composition   0.231 eV per atom
SG   R-3m, No. 166